No. 1
A relaxed Cd2AsOs crystal. Source: Alexandria, functional GGA-PBE.

abc: 2.780 4.475 5.986
angles: 90.00 90.07 90.00
Fractional coordinates of all 4 atoms:
Cd 0.002 0.000 0.234
Cd 0.998 0.000 0.766
As 0.500 0.500 0.500
Os 0.500 0.500 0.000

Values from the calculation:
DFT total energy ... -15.31 eV per formula unit
Energy relative to the elements ... 0.600 eV/atom
Total magnetization ... 0.00 μB per formula unit



No. 2
A relaxed CdAs2Os crystal. Source: Alexandria, functional GGA-PBE.

abc: 4.675 4.675 3.313
angles: 90.00 90.00 104.08
Fractional coordinates of all 4 atoms:
Cd 0.000 0.000 0.000
As 0.000 0.500 0.500
As 0.500 0.000 0.500
Os 0.500 0.500 0.000

Values from the calculation:
DFT total energy ... -19.03 eV per formula unit
Energy relative to the elements ... 0.604 eV/atom
Total magnetization ... 0.00 μB per formula unit



No. 3
A relaxed Cd3AsOs crystal. Source: Alexandria, functional GGA-PBE.

abc: 5.188 5.188 5.188
angles: 90.00 90.00 90.00
Fractional coordinates of all 5 atoms:
Cd 0.000 0.000 0.500
Cd 0.000 0.500 0.000
Cd 0.500 0.000 0.000
As 0.500 0.500 0.500
Os 0.000 0.000 0.000

Values from the calculation:
DFT total energy ... -13.22 eV per formula unit
Energy relative to the elements ... 1.080 eV/atom
Polymorph energy (0 for the lowest one) ... 0.0 meV per atom
Total magnetization ... 1.82 μB per formula unit



No. 4
A relaxed CdAs2Os crystal. Source: Alexandria, functional GGA-PBE.

abc: 2.980 2.980 9.362
angles: 90.00 90.00 90.00
Fractional coordinates of all 4 atoms:
Cd 0.000 0.000 0.000
As 0.500 0.500 0.329
As 0.500 0.500 0.671
Os 0.000 0.000 0.500

Values from the calculation:
DFT total energy ... -20.87 eV per formula unit
Energy relative to the elements ... 0.144 eV/atom
Total magnetization ... 0.00 μB per formula unit



No. 5
A relaxed CdAs2Os crystal. Source: Alexandria, functional GGA-PBE.

abc: 3.805 3.805 8.629
angles: 106.61 106.61 48.13
Fractional coordinates of all 4 atoms:
Cd 0.000 0.000 0.000
As 0.133 0.133 0.330
As 0.867 0.867 0.670
Os 0.500 0.500 0.500

Values from the calculation:
DFT total energy ... -20.86 eV per formula unit
Energy relative to the elements ... 0.147 eV/atom
Total magnetization ... 0.00 μB per formula unit



No. 6
A relaxed CdAsOs2 crystal. Source: Alexandria, functional GGA-PBE.

abc: 4.459 4.459 4.459
angles: 60.00 60.00 60.00
Fractional coordinates of all 4 atoms:
Cd 0.000 0.000 0.000
As 0.500 0.500 0.500
Os 0.250 0.250 0.250
Os 0.750 0.750 0.750

Values from the calculation:
DFT total energy ... -25.02 eV per formula unit
Energy relative to the elements ... 0.752 eV/atom
Polymorph energy (0 for the lowest one) ... 477.1 meV per atom
Total magnetization ... 0.00 μB per formula unit



No. 7
A relaxed CdAs2Os crystal. Source: Alexandria, functional GGA-PBE.

abc: 2.937 2.937 10.634
angles: 90.00 90.00 120.13
Fractional coordinates of all 4 atoms:
Cd 0.000 0.000 0.000
As 0.500 0.500 0.305
As 0.500 0.500 0.695
Os 0.000 0.000 0.500

Values from the calculation:
DFT total energy ... -20.11 eV per formula unit
Energy relative to the elements ... 0.333 eV/atom
Total magnetization ... 0.00 μB per formula unit



No. 8
A relaxed Cd2AsOs crystal. Source: Alexandria, functional GGA-PBE.

abc: 3.976 3.976 4.577
angles: 90.00 90.00 90.00
Fractional coordinates of all 4 atoms:
Cd 0.000 0.500 0.000
Cd 0.500 0.000 0.000
As 0.000 0.000 0.500
Os 0.500 0.500 0.500

Values from the calculation:
DFT total energy ... -15.15 eV per formula unit
Energy relative to the elements ... 0.640 eV/atom
Total magnetization ... 0.00 μB per formula unit



No. 9
A relaxed Cd2AsOs crystal. Source: Alexandria, functional GGA-PBE.

abc: 3.045 3.045 8.537
angles: 90.00 90.00 90.00
Fractional coordinates of all 4 atoms:
Cd 0.000 0.000 0.000
Cd 0.500 0.500 0.285
As 0.500 0.500 0.676
Os 0.000 0.000 0.520

Values from the calculation:
DFT total energy ... -17.06 eV per formula unit
Energy relative to the elements ... 0.163 eV/atom
Total magnetization ... 0.00 μB per formula unit



No. 10
A relaxed Cd3AsOs crystal. Source: Alexandria, functional GGA-PBE.

abc: 5.067 5.067 5.067
angles: 90.00 90.00 90.00
Fractional coordinates of all 5 atoms:
Cd 0.000 0.000 0.500
Cd 0.000 0.500 0.000
Cd 0.500 0.000 0.000
As 0.000 0.000 0.000
Os 0.500 0.500 0.500

Values from the calculation:
DFT total energy ... -11.66 eV per formula unit
Energy relative to the elements ... 1.392 eV/atom
Polymorph energy (0 for the lowest one) ... 312.1 meV per atom
Total magnetization ... 1.60 μB per formula unit



No. 11
A relaxed CdAsOs2 crystal. Source: Alexandria, functional GGA-PBE.

abc: 2.946 4.631 4.829
angles: 90.00 90.00 90.00
Fractional coordinates of all 4 atoms:
Cd 0.000 0.000 0.000
As 0.500 0.000 0.500
Os 0.000 0.500 0.500
Os 0.500 0.500 0.000

Values from the calculation:
DFT total energy ... -24.58 eV per formula unit
Energy relative to the elements ... 0.862 eV/atom
Polymorph energy (0 for the lowest one) ... 587.3 meV per atom
Total magnetization ... 0.00 μB per formula unit



No. 12
A relaxed Cd2SbAsOs crystal. Source: Alexandria, functional GGA-PBE.

abc: 5.372 5.372 5.334
angles: 90.00 90.00 90.00
Fractional coordinates of all 5 atoms:
Cd 0.000 0.500 0.000
Cd 0.500 0.000 0.000
Sb 0.000 0.000 0.000
As 0.000 0.000 0.500
Os 0.500 0.500 0.500

Values from the calculation:
DFT total energy ... -13.08 eV per formula unit
ΔE_f (raw) ... 1.75 eV per atom
Total magnetization ... 2.91 μB per formula unit



No. 13
A relaxed CdAsOsSe2 crystal. Source: Alexandria, functional GGA-PBE.

abc: 5.109 5.109 4.643
angles: 90.00 90.00 90.00
Fractional coordinates of all 5 atoms:
Cd 0.000 0.000 0.000
As 0.500 0.500 0.000
Os 0.500 0.500 0.500
Se 0.000 0.500 0.500
Se 0.500 0.000 0.500

Values from the calculation:
DFT total energy ... -21.14 eV per formula unit
ΔE_f (raw) ... 0.53 eV per atom
Polymorph energy (0 for the lowest one) ... 0.0 meV per atom
Total magnetization ... 0.00 μB per formula unit



No. 14
A relaxed CdAs2OsSe crystal. Source: Alexandria, functional GGA-PBE.

abc: 4.656 4.656 5.651
angles: 90.00 90.00 90.00
Fractional coordinates of all 5 atoms:
Cd 0.000 0.000 0.000
As 0.000 0.500 0.500
As 0.500 0.000 0.500
Os 0.500 0.500 0.500
Se 0.500 0.500 0.000

Values from the calculation:
DFT total energy ... -22.52 eV per formula unit
ΔE_f (raw) ... 0.48 eV per atom
Polymorph energy (0 for the lowest one) ... 0.0 meV per atom
Total magnetization ... 0.00 μB per formula unit



No. 15
A relaxed VCd2AsOs crystal. Source: Alexandria, functional GGA-PBE.

abc: 5.226 5.226 4.435
angles: 90.00 90.00 90.00
Fractional coordinates of all 5 atoms:
V 0.000 0.000 0.000
Cd 0.000 0.500 0.500
Cd 0.500 0.000 0.500
As 0.500 0.500 0.000
Os 0.000 0.000 0.500

Values from the calculation:
DFT total energy ... -21.65 eV per formula unit
Energy relative to the elements ... 1.036 eV/atom
Total magnetization ... 0.24 μB per formula unit



No. 16
A relaxed ZnCdAs2Os crystal. Source: Alexandria, functional GGA-PBE.

abc: 4.713 4.713 4.767
angles: 90.00 90.00 90.00
Fractional coordinates of all 5 atoms:
Zn 0.000 0.000 0.000
Cd 0.500 0.500 0.500
As 0.000 0.500 0.000
As 0.500 0.000 0.000
Os 0.000 0.000 0.500

Values from the calculation:
DFT total energy ... -16.86 eV per formula unit
Energy relative to the elements ... 1.172 eV/atom
Total magnetization ... 0.00 μB per formula unit



No. 17
A relaxed Zr2CdAsOs crystal. Source: Alexandria, functional GGA-PBE.

abc: 5.003 5.003 5.130
angles: 90.00 90.00 90.00
Fractional coordinates of all 5 atoms:
Zr 0.000 0.500 0.000
Zr 0.500 0.000 0.000
Cd 0.000 0.000 0.500
As 0.500 0.500 0.500
Os 0.000 0.000 0.000

Values from the calculation:
DFT total energy ... -31.80 eV per formula unit
Energy relative to the elements ... 0.417 eV/atom
Total magnetization ... 0.00 μB per formula unit



No. 18
A relaxed Cd4AsP crystal. Source: Alexandria, functional GGA-PBE.

abc: 6.035 6.964 6.966
angles: 90.00 90.10 90.00
Fractional coordinates of all 12 atoms:
Cd 0.245 0.006 0.493
Cd 0.245 0.493 0.007
Cd 0.245 0.507 0.507
Cd 0.245 0.994 0.993
Cd 0.755 0.006 0.007
Cd 0.755 0.493 0.493
Cd 0.755 0.507 0.993
Cd 0.755 0.994 0.507
As 0.500 0.250 0.750
As 0.500 0.750 0.250
P 0.000 0.251 0.250
P 0.000 0.749 0.750

Values from the calculation:
DFT total energy ... -13.26 eV per formula unit
Energy relative to the elements ... 0.077 eV/atom
Polymorph energy (0 for the lowest one) ... 0.0 meV per atom
Total magnetization ... 0.00 μB per formula unit



No. 19
A relaxed CdAsP crystal. Source: Alexandria, functional GGA-PBE.

abc: 3.410 3.410 7.450
angles: 90.00 90.00 120.00
Fractional coordinates of all 3 atoms:
Cd 0.000 0.000 0.000
As 0.667 0.333 0.560
P 0.333 0.667 0.380

Values from the calculation:
DFT total energy ... -10.57 eV per formula unit
Energy relative to the elements ... 0.134 eV/atom
Polymorph energy (0 for the lowest one) ... 207.1 meV per atom
Total magnetization ... 0.00 μB per formula unit



No. 20
A relaxed Cd4AsP crystal. Source: Alexandria, functional GGA-PBE.

abc: 7.565 7.565 7.565
angles: 108.05 108.05 112.36
Fractional coordinates of all 12 atoms:
Cd 0.194 0.000 0.194
Cd 0.237 0.536 0.299
Cd 0.237 0.938 0.701
Cd 0.286 0.487 0.799
Cd 0.688 0.487 0.201
Cd 0.750 0.056 0.306
Cd 0.750 0.444 0.694
Cd 0.806 0.000 0.806
As 0.490 0.990 0.500
As 0.740 0.740 0.000
P 0.247 0.247 0.000
P 0.997 0.497 0.500

Values from the calculation:
DFT total energy ... -12.96 eV per formula unit
Energy relative to the elements ... 0.126 eV/atom
Polymorph energy (0 for the lowest one) ... 49.0 meV per atom
Total magnetization ... 0.00 μB per formula unit